1.
{"formula": "Ce3Er2Tl4", "functional": "PBE", "state": "relaxed", "cell": [[4.671, -2.665, 0.000], [4.671, 2.665, 0.000], [-0.414, 0.000, 10.239]], "species": ["Ce", "Ce", "Ce", "Er", "Er", "Tl", "Tl", "Tl", "Tl"], "fractional_positions": [[0.000, 0.000, 0.000], [0.367, 0.367, 0.439], [0.633, 0.633, 0.561], [0.322, 0.322, 0.777], [0.678, 0.678, 0.223], [0.026, 0.026, 0.339], [0.338, 0.338, 0.108], [0.662, 0.662, 0.892], [0.974, 0.974, 0.661]], "delta_e_f_ev_per_atom": -0.218, "rho_g_cm3": 10.2, "space_group": "C2/m (12)"}

2.
{"formula": "Ce2ErTl", "functional": "PBE", "state": "relaxed", "cell": [[4.544, 0.000, 0.000], [0.000, 4.307, 0.000], [-1.881, 0.000, 11.332]], "species": ["Ce", "Ce", "Ce", "Ce", "Er", "Er", "Tl", "Tl"], "fractional_positions": [[0.003, 0.250, 0.113], [0.388, 0.250, 0.882], [0.612, 0.750, 0.118], [0.997, 0.750, 0.887], [0.303, 0.750, 0.608], [0.697, 0.250, 0.392], [0.182, 0.750, 0.334], [0.818, 0.250, 0.666]], "delta_e_f_ev_per_atom": -0.150, "rho_g_cm3": 9.8, "space_group": "P2_1/m (11)"}

3.
{"formula": "Ce2Er2Tl5", "functional": "PBE", "state": "relaxed", "cell": [[-8.789, 4.561, 3.233], [8.789, -4.561, 3.233], [8.789, 4.561, -3.233]], "species": ["Ce", "Ce", "Ce", "Ce", "Er", "Er", "Er", "Er", "Tl", "Tl", "Tl", "Tl", "Tl", "Tl", "Tl", "Tl", "Tl", "Tl"], "fractional_positions": [[0.080, 0.064, 0.144], [0.080, 0.436, 0.517], [0.920, 0.564, 0.483], [0.920, 0.936, 0.856], [0.323, 0.753, 0.070], [0.500, 0.000, 0.500], [0.500, 0.500, 0.000], [0.683, 0.253, 0.930], [0.001, 0.341, 0.841], [0.001, 0.660, 0.160], [0.015, 0.235, 0.280], [0.362, 0.155, 0.536], [0.362, 0.326, 0.707], [0.500, 0.160, 0.159], [0.500, 0.841, 0.840], [0.619, 0.655, 0.293], [0.619, 0.826, 0.464], [0.955, 0.735, 0.720]], "delta_e_f_ev_per_atom": -0.136, "rho_g_cm3": 10.5, "space_group": "Ima2 (46)"}

4.
{"formula": "CeEr5Tl8", "functional": "PBE", "state": "relaxed", "cell": [[-4.582, 4.582, 4.759], [4.582, -4.582, 4.759], [4.582, 4.582, -4.759]], "species": ["Ce", "Er", "Er", "Er", "Er", "Er", "Tl", "Tl", "Tl", "Tl", "Tl", "Tl", "Tl", "Tl"], "fractional_positions": [[0.000, 0.000, 0.000], [0.079, 0.487, 0.860], [0.250, 0.750, 0.500], [0.513, 0.374, 0.593], [0.626, 0.219, 0.140], [0.781, 0.921, 0.407], [0.066, 0.306, 0.434], [0.245, 0.156, 0.765], [0.369, 0.934, 0.241], [0.391, 0.480, 0.235], [0.520, 0.755, 0.911], [0.694, 0.128, 0.759], [0.844, 0.609, 0.089], [0.872, 0.631, 0.566]], "delta_e_f_ev_per_atom": -0.193, "rho_g_cm3": 10.8, "space_group": "I-4 (82)"}

5.
{"formula": "CeErTl2", "functional": "PBE", "state": "relaxed", "cell": [[4.997, 0.000, 0.000], [0.000, 4.997, 0.000], [0.000, 0.000, 4.488]], "species": ["Ce", "Er", "Tl", "Tl"], "fractional_positions": [[0.000, 0.000, 0.000], [0.500, 0.500, 0.000], [0.000, 0.500, 0.500], [0.500, 0.000, 0.500]], "delta_e_f_ev_per_atom": -0.252, "rho_g_cm3": 10.6, "space_group": "P4/mmm (123)"}

6.
{"formula": "Ce2Er3Tl4", "functional": "PBE", "state": "relaxed", "cell": [[3.560, -8.378, 0.000], [3.560, 8.378, 0.000], [0.000, 0.000, 9.044]], "species": ["Ce", "Ce", "Ce", "Ce", "Er", "Er", "Er", "Er", "Er", "Er", "Tl", "Tl", "Tl", "Tl", "Tl", "Tl", "Tl", "Tl"], "fractional_positions": [[0.109, 0.891, 0.922], [0.391, 0.609, 0.422], [0.609, 0.391, 0.578], [0.891, 0.109, 0.078], [0.000, 0.000, 0.500], [0.034, 0.466, 0.750], [0.466, 0.034, 0.250], [0.500, 0.500, 0.000], [0.534, 0.966, 0.750], [0.966, 0.534, 0.250], [0.183, 0.817, 0.544], [0.215, 0.285, 0.750], [0.285, 0.215, 0.250], [0.317, 0.683, 0.044], [0.683, 0.317, 0.956], [0.715, 0.785, 0.750], [0.785, 0.715, 0.250], [0.817, 0.183, 0.456]], "delta_e_f_ev_per_atom": -0.156, "rho_g_cm3": 9.8, "space_group": "Cmce (64)"}

7.
{"formula": "Ce2ErTl", "functional": "PBE", "state": "relaxed", "cell": [[0.000, 3.897, 3.897], [3.897, 0.000, 3.897], [3.897, 3.897, 0.000]], "species": ["Ce", "Ce", "Er", "Tl"], "fractional_positions": [[0.250, 0.250, 0.250], [0.750, 0.750, 0.750], [0.000, 0.000, 0.000], [0.500, 0.500, 0.500]], "delta_e_f_ev_per_atom": 0.045, "rho_g_cm3": 9.1, "space_group": "Fm-3m (225)"}

8.
{"formula": "Ce2ErTl", "functional": "PBE", "state": "relaxed", "cell": [[4.586, 0.000, 0.000], [0.000, 4.586, 0.000], [0.000, 0.000, 5.226]], "species": ["Ce", "Ce", "Er", "Tl"], "fractional_positions": [[0.000, 0.500, 0.000], [0.500, 0.000, 0.000], [0.000, 0.000, 0.500], [0.500, 0.500, 0.500]], "delta_e_f_ev_per_atom": -0.140, "rho_g_cm3": 9.8, "space_group": "P4/mmm (123)"}

9.
{"formula": "CeEr2Tl5", "functional": "PBE", "state": "relaxed", "cell": [[-3.964, 3.964, 3.580], [3.964, -3.964, 3.580], [3.964, 3.964, -3.580]], "species": ["Ce", "Er", "Er", "Tl", "Tl", "Tl", "Tl", "Tl"], "fractional_positions": [[0.000, 0.000, 0.000], [0.001, 0.501, 0.500], [0.501, 0.001, 0.500], [0.001, 0.001, 0.500], [0.001, 0.500, 0.000], [0.500, 0.001, 0.000], [0.500, 0.500, 0.500], [0.501, 0.501, 0.000]], "delta_e_f_ev_per_atom": -0.209, "rho_g_cm3": 11.0, "space_group": "I4mm (107)"}

10.
{"formula": "Ce2Er2Tl7", "functional": "PBE", "state": "relaxed", "cell": [[4.224, -5.456, 0.000], [4.224, 5.456, 0.000], [0.000, 0.000, 7.981]], "species": ["Ce", "Ce", "Er", "Er", "Tl", "Tl", "Tl", "Tl", "Tl", "Tl", "Tl"], "fractional_positions": [[0.196, 0.804, 0.000], [0.804, 0.196, 0.000], [0.306, 0.306, 0.500], [0.694, 0.694, 0.500], [0.000, 0.000, 0.297], [0.000, 0.000, 0.703], [0.000, 0.500, 0.301], [0.000, 0.500, 0.699], [0.500, 0.000, 0.301], [0.500, 0.000, 0.699], [0.500, 0.500, 0.000]], "delta_e_f_ev_per_atom": 0.132, "rho_g_cm3": 9.2, "space_group": "Cmmm (65)"}

11.
{"formula": "Ce2ErTl4", "functional": "PBE", "state": "relaxed", "cell": [[3.230, -6.917, 0.000], [3.230, 6.917, 0.000], [0.000, 0.000, 5.057]], "species": ["Ce", "Ce", "Er", "Tl", "Tl", "Tl", "Tl"], "fractional_positions": [[0.101, 0.899, 0.000], [0.899, 0.101, 0.000], [0.500, 0.500, 0.500], [0.246, 0.754, 0.500], [0.372, 0.628, 0.000], [0.628, 0.372, 0.000], [0.754, 0.246, 0.500]], "delta_e_f_ev_per_atom": 0.129, "rho_g_cm3": 9.3, "space_group": "Cmmm (65)"}

12.
{"formula": "CeErTl6", "functional": "PBE", "state": "relaxed", "cell": [[4.795, 0.000, 0.000], [0.000, 4.795, 0.000], [0.000, 0.000, 9.564]], "species": ["Ce", "Er", "Tl", "Tl", "Tl", "Tl", "Tl", "Tl"], "fractional_positions": [[0.000, 0.000, 0.000], [0.000, 0.000, 0.500], [0.000, 0.500, 0.254], [0.000, 0.500, 0.746], [0.500, 0.000, 0.254], [0.500, 0.000, 0.746], [0.500, 0.500, 0.000], [0.500, 0.500, 0.500]], "delta_e_f_ev_per_atom": -0.221, "rho_g_cm3": 11.6, "space_group": "P4/mmm (123)"}

13.
{"formula": "CeEr2Tl9", "functional": "PBE", "state": "relaxed", "cell": [[4.785, 0.000, 0.000], [0.000, 4.785, 0.000], [0.000, 0.000, 14.326]], "species": ["Ce", "Er", "Er", "Tl", "Tl", "Tl", "Tl", "Tl", "Tl", "Tl", "Tl", "Tl"], "fractional_positions": [[0.000, 0.000, 0.000], [0.000, 0.000, 0.335], [0.000, 0.000, 0.665], [0.000, 0.500, 0.170], [0.000, 0.500, 0.500], [0.000, 0.500, 0.830], [0.500, 0.000, 0.170], [0.500, 0.000, 0.500], [0.500, 0.000, 0.830], [0.500, 0.500, 0.000], [0.500, 0.500, 0.334], [0.500, 0.500, 0.666]], "delta_e_f_ev_per_atom": -0.213, "rho_g_cm3": 11.7, "space_group": "P4/mmm (123)"}

14.
{"formula": "CeEr5Tl3", "functional": "PBE", "state": "relaxed", "cell": [[8.444, -4.598, 0.000], [8.444, 4.598, 0.000], [0.000, 0.000, 6.638]], "species": ["Ce", "Ce", "Er", "Er", "Er", "Er", "Er", "Er", "Er", "Er", "Er", "Er", "Tl", "Tl", "Tl", "Tl", "Tl", "Tl"], "fractional_positions": [[0.000, 0.000, 0.000], [0.000, 0.000, 0.500], [0.019, 0.335, 0.250], [0.330, 0.670, 0.750], [0.335, 0.019, 0.750], [0.347, 0.347, 0.000], [0.347, 0.347, 0.500], [0.653, 0.653, 0.000], [0.653, 0.653, 0.500], [0.665, 0.981, 0.250], [0.670, 0.330, 0.250], [0.981, 0.665, 0.750], [0.010, 0.659, 0.250], [0.334, 0.666, 0.250], [0.341, 0.990, 0.250], [0.659, 0.010, 0.750], [0.666, 0.334, 0.750], [0.990, 0.341, 0.750]], "delta_e_f_ev_per_atom": -0.147, "rho_g_cm3": 10.2, "space_group": "Cmcm (63)"}

15.
{"formula": "CeErTl2", "functional": "PBE", "state": "relaxed", "cell": [[3.546, 0.000, 0.000], [0.000, 3.546, 0.000], [0.000, 0.000, 8.814]], "species": ["Ce", "Er", "Tl", "Tl"], "fractional_positions": [[0.000, 0.000, 0.000], [0.000, 0.000, 0.500], [0.500, 0.500, 0.259], [0.500, 0.500, 0.741]], "delta_e_f_ev_per_atom": -0.278, "rho_g_cm3": 10.7, "space_group": "P4/mmm (123)"}

16.
{"formula": "Ce2ErTl3", "functional": "PBE", "state": "relaxed", "cell": [[3.515, 0.000, 0.000], [0.000, 3.515, 0.000], [0.000, 0.000, 13.565]], "species": ["Ce", "Ce", "Er", "Tl", "Tl", "Tl"], "fractional_positions": [[0.000, 0.000, 0.171], [0.000, 0.000, 0.829], [0.000, 0.000, 0.500], [0.500, 0.500, 0.000], [0.500, 0.500, 0.341], [0.500, 0.500, 0.659]], "delta_e_f_ev_per_atom": -0.266, "rho_g_cm3": 10.5, "space_group": "P4/mmm (123)"}

17.
{"formula": "CeEr8Tl2", "functional": "PBE", "state": "relaxed", "cell": [[8.430, -3.292, 0.000], [8.430, 3.292, 0.000], [-1.518, 0.000, 6.031]], "species": ["Ce", "Er", "Er", "Er", "Er", "Er", "Er", "Er", "Er", "Tl", "Tl"], "fractional_positions": [[0.000, 0.000, 0.000], [0.153, 0.649, 0.537], [0.223, 0.223, 0.165], [0.351, 0.847, 0.463], [0.419, 0.419, 0.081], [0.581, 0.581, 0.919], [0.649, 0.153, 0.537], [0.777, 0.777, 0.835], [0.847, 0.351, 0.463], [0.256, 0.256, 0.695], [0.744, 0.744, 0.305]], "delta_e_f_ev_per_atom": 0.018, "rho_g_cm3": 9.4, "space_group": "C2/m (12)"}

18.
{"formula": "Ce2ErTl4", "functional": "PBE", "state": "relaxed", "cell": [[-3.741, 3.741, 3.957], [3.741, -3.741, 3.957], [3.741, 3.741, -3.957]], "species": ["Ce", "Ce", "Er", "Tl", "Tl", "Tl", "Tl"], "fractional_positions": [[0.000, 0.500, 0.500], [0.500, 0.000, 0.500], [0.000, 0.000, 0.000], [0.000, 0.000, 0.500], [0.000, 0.500, 0.000], [0.500, 0.000, 0.000], [0.500, 0.500, 0.500]], "delta_e_f_ev_per_atom": -0.123, "rho_g_cm3": 9.5, "space_group": "I4/mmm (139)"}

19.
{"formula": "CeErTl2", "functional": "PBE", "state": "relaxed", "cell": [[1.833, 1.058, 10.137], [-1.833, 1.058, 10.137], [0.000, -2.116, 10.137]], "species": ["Ce", "Er", "Tl", "Tl"], "fractional_positions": [[0.000, 0.000, 0.000], [0.500, 0.500, 0.500], [0.247, 0.247, 0.247], [0.753, 0.753, 0.753]], "delta_e_f_ev_per_atom": -0.164, "rho_g_cm3": 10.1, "space_group": "R-3m (166)"}

20.
{"formula": "Ce2ErTmTl4", "functional": "PBE", "state": "relaxed", "cell": [[2.710, 1.564, 8.862], [-2.710, 1.564, 8.862], [0.000, -3.129, 8.862]], "species": ["Ce", "Ce", "Er", "Tm", "Tl", "Tl", "Tl", "Tl"], "fractional_positions": [[0.250, 0.250, 0.250], [0.750, 0.750, 0.750], [0.000, 0.000, 0.000], [0.500, 0.500, 0.500], [0.125, 0.125, 0.125], [0.375, 0.375, 0.375], [0.625, 0.625, 0.625], [0.875, 0.875, 0.875]], "delta_e_f_ev_per_atom": -0.264, "rho_g_cm3": 10.6, "space_group": "R-3m (166)"}

21.
{"formula": "CeEr2TmTl4", "functional": "PBE", "state": "relaxed", "cell": [[2.681, 1.548, 8.849], [-2.681, 1.548, 8.849], [0.000, -3.096, 8.849]], "species": ["Ce", "Er", "Er", "Tm", "Tl", "Tl", "Tl", "Tl"], "fractional_positions": [[0.000, 0.000, 0.000], [0.249, 0.249, 0.249], [0.751, 0.751, 0.751], [0.500, 0.500, 0.500], [0.127, 0.127, 0.127], [0.377, 0.377, 0.377], [0.623, 0.623, 0.623], [0.873, 0.873, 0.873]], "delta_e_f_ev_per_atom": -0.281, "rho_g_cm3": 11.0, "space_group": "R-3m (166)"}

22.
{"formula": "CeErTm2Tl4", "functional": "PBE", "state": "relaxed", "cell": [[2.679, 1.547, 8.832], [-2.679, 1.547, 8.832], [0.000, -3.093, 8.832]], "species": ["Ce", "Er", "Tm", "Tm", "Tl", "Tl", "Tl", "Tl"], "fractional_positions": [[0.000, 0.000, 0.000], [0.500, 0.500, 0.500], [0.249, 0.249, 0.249], [0.751, 0.751, 0.751], [0.127, 0.127, 0.127], [0.377, 0.377, 0.377], [0.623, 0.623, 0.623], [0.873, 0.873, 0.873]], "delta_e_f_ev_per_atom": -0.278, "rho_g_cm3": 11.1, "space_group": "R-3m (166)"}

23.
{"formula": "CeYErTl", "functional": "PBE", "state": "relaxed", "cell": [[0.000, 3.820, 3.820], [3.820, 0.000, 3.820], [3.820, 3.820, 0.000]], "species": ["Ce", "Y", "Er", "Tl"], "fractional_positions": [[0.000, 0.000, 0.000], [0.750, 0.750, 0.750], [0.250, 0.250, 0.250], [0.500, 0.500, 0.500]], "delta_e_f_ev_per_atom": 0.028, "rho_g_cm3": 8.9, "space_group": "F-43m (216)"}